{
  "formula": "Ho5Cu4Au",
  "functional": "PBE",
  "state": "relaxed",
  "delta_e_f_ev_per_fu": -3.863,
  "e_tot_ev_per_atom": -4.641,
  "spacegroup": "P4/mmm",
  "cell": [[-2.000, -1.496, -2.399], [-2.357, -0.741, 2.427], [-7.929, 15.404, -3.000]],
  "species": ["Ho", "Cu", "Cu", "Au", "Ho", "Ho", "Ho", "Ho", "Cu", "Cu"],
  "fractional_positions": [[0.500, 0.500, 0.500], [0.000, 0.000, 0.795], [0.000, 0.000, 0.401], [0.000, 0.000, 0.000], [0.500, 0.500, 0.697], [0.500, 0.500, 0.105], [0.500, 0.500, 0.895], [0.500, 0.500, 0.303], [0.000, 0.000, 0.599], [0.000, 0.000, 0.205]]
}



{
  "formula": "Ho3CuAu2",
  "functional": "PBE",
  "state": "relaxed",
  "delta_e_f_ev_per_fu": -4.014,
  "e_tot_ev_per_atom": -4.733,
  "spacegroup": "P-3m1",
  "cell": [[-2.541, -2.563, -3.475], [4.983, 0.405, -0.331], [1.283, -10.323, 6.674]],
  "species": ["Ho", "Ho", "Au", "Ho", "Cu", "Ho", "Ho", "Au", "Ho", "Cu", "Au", "Au"],
  "fractional_positions": [[0.000, 0.000, 0.746], [0.333, 0.667, 0.914], [0.000, 0.000, 0.500], [0.667, 0.333, 0.582], [0.667, 0.333, 0.333], [0.000, 0.000, 0.254], [0.333, 0.667, 0.418], [0.000, 0.000, 0.000], [0.667, 0.333, 0.086], [0.333, 0.667, 0.667], [0.333, 0.667, 0.175], [0.667, 0.333, 0.825]]
}



{
  "formula": "Ho4CuAu",
  "functional": "PBE",
  "state": "relaxed",
  "delta_e_f_ev_per_fu": -1.242,
  "e_tot_ev_per_atom": -4.488,
  "spacegroup": "P2_1/c",
  "cell": [[6.872, 0.000, -0.147], [0.000, 7.066, 0.000], [-0.248, 0.000, 6.894]],
  "species": ["Ho", "Ho", "Ho", "Cu", "Ho", "Ho", "Ho", "Au", "Ho", "Au", "Ho", "Cu"],
  "fractional_positions": [[0.367, 0.845, 0.162], [0.867, 0.655, 0.162], [0.170, 0.840, 0.654], [0.500, 0.000, 0.500], [0.670, 0.660, 0.654], [0.633, 0.155, 0.838], [0.830, 0.160, 0.346], [0.000, 0.000, 0.000], [0.330, 0.340, 0.346], [0.500, 0.500, 0.000], [0.133, 0.345, 0.838], [0.000, 0.500, 0.500]]
}



{
  "formula": "HoCu6Au6",
  "functional": "PBE",
  "state": "relaxed",
  "delta_e_f_ev_per_fu": -3.169,
  "e_tot_ev_per_atom": -3.999,
  "spacegroup": "Immm",
  "cell": [[4.797, 0.000, 1.917], [2.375, 6.358, 1.019], [0.039, -0.088, 6.862]],
  "species": ["Au", "Au", "Cu", "Cu", "Au", "Au", "Au", "Cu", "Cu", "Cu", "Cu", "Au", "Ho"],
  "fractional_positions": [[0.682, 0.818, 0.818], [0.340, 0.660, 0.660], [0.500, 0.238, 0.762], [0.500, 0.762, 0.238], [0.318, 0.182, 0.182], [0.000, 0.335, 0.665], [0.660, 0.340, 0.340], [0.500, 0.000, 0.500], [0.000, 0.500, 0.000], [0.000, 0.000, 0.500], [0.500, 0.500, 0.000], [0.000, 0.665, 0.335], [0.000, 0.000, 0.000]]
}



{
  "formula": "HoCu4Au",
  "functional": "PBE",
  "state": "relaxed",
  "delta_e_f_ev_per_fu": -2.031,
  "e_tot_ev_per_atom": -4.379,
  "spacegroup": "F-43m",
  "cell": [[-2.481, 1.620, 4.073], [-2.255, -3.308, 3.056], [1.870, -0.862, 4.596]],
  "species": ["Cu", "Ho", "Au", "Cu", "Cu", "Cu"],
  "fractional_positions": [[0.626, 0.626, 0.123], [0.250, 0.250, 0.250], [0.000, 0.000, 0.000], [0.626, 0.123, 0.626], [0.626, 0.626, 0.626], [0.123, 0.626, 0.626]]
}



{
  "formula": "HoCu6Au",
  "functional": "PBE",
  "state": "relaxed",
  "delta_e_f_ev_per_fu": 0.092,
  "e_tot_ev_per_atom": -4.043,
  "spacegroup": "Pm-3",
  "cell": [[4.922, 0.000, 0.000], [0.000, 4.922, 0.000], [0.000, 0.000, 4.922]],
  "species": ["Cu", "Cu", "Au", "Ho", "Cu", "Cu", "Cu", "Cu"],
  "fractional_positions": [[0.256, 0.000, 0.500], [0.744, 0.000, 0.500], [0.500, 0.500, 0.500], [0.000, 0.000, 0.000], [0.000, 0.500, 0.256], [0.500, 0.256, 0.000], [0.000, 0.500, 0.744], [0.500, 0.744, 0.000]]
}



{
  "formula": "Ho3CuAu2",
  "functional": "PBE",
  "state": "relaxed",
  "delta_e_f_ev_per_fu": -4.010,
  "e_tot_ev_per_atom": -4.732,
  "spacegroup": "P4/mmm",
  "cell": [[-2.437, 1.364, -2.168], [-2.100, -2.777, 0.613], [-4.432, 5.171, 8.236]],
  "species": ["Ho", "Au", "Au", "Ho", "Cu", "Ho"],
  "fractional_positions": [[0.000, 0.000, 0.660], [0.500, 0.500, 0.171], [0.500, 0.500, 0.829], [0.000, 0.000, 0.340], [0.500, 0.500, 0.500], [0.000, 0.000, 0.000]]
}



{
  "formula": "Ho2CuAu",
  "functional": "PBE",
  "state": "relaxed",
  "delta_e_f_ev_per_fu": -2.260,
  "e_tot_ev_per_atom": -4.697,
  "spacegroup": "Pmma",
  "cell": [[-1.840, 3.015, 0.134], [-1.629, -0.788, -4.639], [-7.859, -4.956, 3.602]],
  "species": ["Ho", "Au", "Cu", "Ho", "Au", "Cu", "Ho", "Ho"],
  "fractional_positions": [[0.000, 0.250, 0.618], [0.500, 0.750, 0.132], [0.500, 0.750, 0.621], [0.000, 0.750, 0.382], [0.500, 0.250, 0.868], [0.500, 0.250, 0.379], [0.000, 0.250, 0.130], [0.000, 0.750, 0.870]]
}



{
  "formula": "Ho6Cu5Au",
  "functional": "PBE",
  "state": "relaxed",
  "delta_e_f_ev_per_fu": -4.416,
  "e_tot_ev_per_atom": -4.637,
  "spacegroup": "Cmmm",
  "cell": [[4.678, -0.028, 1.559], [0.037, 6.914, 0.012], [-0.002, -0.014, 7.805]],
  "species": ["Ho", "Cu", "Cu", "Cu", "Ho", "Ho", "Ho", "Cu", "Cu", "Ho", "Au", "Ho"],
  "fractional_positions": [[0.831, 0.253, 0.337], [0.330, 0.000, 0.340], [0.000, 0.500, 0.000], [0.670, 0.000, 0.660], [0.500, 0.255, 0.000], [0.168, 0.253, 0.663], [0.832, 0.747, 0.337], [0.335, 0.500, 0.329], [0.665, 0.500, 0.671], [0.169, 0.747, 0.663], [0.000, 0.000, 0.000], [0.500, 0.745, 0.000]]
}



{
  "formula": "HoCuAu4",
  "functional": "PBE",
  "state": "relaxed",
  "delta_e_f_ev_per_fu": -2.289,
  "e_tot_ev_per_atom": -4.012,
  "spacegroup": "P-1",
  "cell": [[5.096, -0.054, 0.060], [-0.051, 5.092, -0.105], [-2.414, -2.158, 8.774]],
  "species": ["Au", "Cu", "Au", "Au", "Au", "Cu", "Au", "Ho", "Ho", "Au", "Au", "Au"],
  "fractional_positions": [[0.165, 0.664, 0.816], [0.000, 0.500, 0.500], [0.908, 0.910, 0.345], [0.591, 0.589, 0.655], [0.835, 0.336, 0.184], [0.500, 0.000, 0.500], [0.666, 0.164, 0.816], [0.250, 0.250, 0.000], [0.750, 0.750, 0.000], [0.409, 0.411, 0.345], [0.334, 0.836, 0.184], [0.092, 0.090, 0.655]]
}



{
  "formula": "Ho4Cu2Au",
  "functional": "PBE",
  "state": "relaxed",
  "delta_e_f_ev_per_fu": -2.281,
  "e_tot_ev_per_atom": -4.580,
  "spacegroup": "P1",
  "cell": [[-5.854, 4.824, -1.449], [1.338, -5.416, -5.912], [-1.493, -3.713, 5.626]],
  "species": ["Ho", "Ho", "Ho", "Cu", "Cu", "Au", "Ho", "Cu", "Au", "Ho", "Ho", "Cu", "Ho", "Ho"],
  "fractional_positions": [[0.971, 0.597, 0.810], [0.879, 0.791, 0.313], [0.353, 0.036, 0.857], [0.160, 0.251, 0.646], [0.484, 0.871, 0.148], [0.979, 0.980, 0.940], [0.919, 0.277, 0.256], [0.643, 0.402, 0.922], [0.252, 0.746, 0.398], [0.501, 0.655, 0.741], [0.749, 0.086, 0.633], [0.665, 0.418, 0.325], [0.333, 0.477, 0.111], [0.361, 0.164, 0.400]]
}



{
  "formula": "Ho4Cu3Au",
  "functional": "PBE",
  "state": "relaxed",
  "delta_e_f_ev_per_fu": -3.307,
  "e_tot_ev_per_atom": -4.648,
  "spacegroup": "P4/mmm",
  "cell": [[3.496, 0.000, 0.000], [0.000, 3.496, 0.000], [0.000, 0.000, 13.878]],
  "species": ["Ho", "Ho", "Cu", "Cu", "Ho", "Au", "Ho", "Cu"],
  "fractional_positions": [[0.000, 0.000, 0.623], [0.000, 0.000, 0.377], [0.500, 0.500, 0.500], [0.500, 0.500, 0.256], [0.000, 0.000, 0.868], [0.500, 0.500, 0.000], [0.000, 0.000, 0.132], [0.500, 0.500, 0.744]]
}



{
  "formula": "Li2HoCuAu4",
  "functional": "PBE",
  "state": "relaxed",
  "delta_e_f_ev_per_fu": -4.098,
  "e_tot_ev_per_atom": -3.714,
  "spacegroup": "R-3m",
  "cell": [[-2.874, 2.776, 2.030], [-2.598, -1.506, 3.328], [3.964, 2.442, 7.219]],
  "species": ["Au", "Cu", "Li", "Au", "Au", "Li", "Ho", "Au"],
  "fractional_positions": [[0.873, 0.873, 0.381], [0.500, 0.500, 0.500], [0.238, 0.238, 0.286], [0.127, 0.127, 0.619], [0.607, 0.607, 0.180], [0.762, 0.762, 0.714], [0.000, 0.000, 0.000], [0.393, 0.393, 0.820]]
}



{
  "formula": "HoMg2CuAu4",
  "functional": "PBE",
  "state": "relaxed",
  "delta_e_f_ev_per_fu": -4.281,
  "e_tot_ev_per_atom": -3.657,
  "spacegroup": "R-3m",
  "cell": [[4.658, 0.000, 0.000], [2.329, 4.034, 0.000], [2.329, 1.345, 8.005]],
  "species": ["Au", "Cu", "Mg", "Ho", "Au", "Au", "Au", "Mg"],
  "fractional_positions": [[0.611, 0.611, 0.168], [0.500, 0.500, 0.500], [0.243, 0.243, 0.272], [0.000, 0.000, 0.000], [0.126, 0.126, 0.621], [0.874, 0.874, 0.379], [0.389, 0.389, 0.832], [0.757, 0.757, 0.728]]
}



{
  "formula": "HoMgCuAu",
  "functional": "PBE",
  "state": "relaxed",
  "delta_e_f_ev_per_fu": -1.968,
  "e_tot_ev_per_atom": -3.878,
  "spacegroup": "F-43m",
  "cell": [[4.804, 0.000, 0.000], [2.402, 4.160, 0.000], [2.402, 1.387, 3.922]],
  "species": ["Au", "Cu", "Mg", "Ho"],
  "fractional_positions": [[0.250, 0.250, 0.250], [0.750, 0.750, 0.750], [0.000, 0.000, 0.000], [0.500, 0.500, 0.500]]
}



{
  "formula": "HoScCuAu",
  "functional": "PBE",
  "state": "relaxed",
  "delta_e_f_ev_per_fu": -2.112,
  "e_tot_ev_per_atom": -5.099,
  "spacegroup": "F-43m",
  "cell": [[-1.219, 4.640, 0.827], [-4.347, 1.666, -1.425], [-3.403, 1.070, 3.313]],
  "species": ["Cu", "Ho", "Au", "Sc"],
  "fractional_positions": [[0.250, 0.250, 0.250], [0.500, 0.500, 0.500], [0.750, 0.750, 0.750], [0.000, 0.000, 0.000]]
}



{
  "formula": "SmHoCuAu",
  "functional": "PBE",
  "state": "relaxed",
  "delta_e_f_ev_per_fu": -2.158,
  "e_tot_ev_per_atom": -4.707,
  "spacegroup": "Amm2",
  "cell": [[3.792, 0.000, 0.000], [0.000, 4.569, 0.000], [-1.896, 0.000, 5.438]],
  "species": ["Ho", "Sm", "Au", "Cu"],
  "fractional_positions": [[0.139, 0.000, 0.278], [0.860, 0.500, 0.720], [0.579, 0.500, 0.159], [0.422, 0.000, 0.843]]
}



{
  "formula": "SmHoCuAu",
  "functional": "PBE",
  "state": "relaxed",
  "delta_e_f_ev_per_fu": -2.059,
  "e_tot_ev_per_atom": -4.682,
  "spacegroup": "F-43m",
  "cell": [[-1.851, -0.295, 4.699], [-1.865, -4.379, 1.714], [2.502, -2.600, 3.546]],
  "species": ["Ho", "Cu", "Au", "Sm"],
  "fractional_positions": [[0.000, 0.000, 0.000], [0.250, 0.250, 0.250], [0.750, 0.750, 0.750], [0.500, 0.500, 0.500]]
}



{
  "formula": "HoCuSnAu",
  "functional": "PBE",
  "state": "relaxed",
  "delta_e_f_ev_per_fu": -1.984,
  "e_tot_ev_per_atom": -4.485,
  "spacegroup": "F-43m",
  "cell": [[-2.485, -0.634, -4.124], [-0.257, -4.406, -2.027], [-4.192, -2.452, 0.043]],
  "species": ["Au", "Cu", "Sn", "Ho"],
  "fractional_positions": [[0.250, 0.250, 0.250], [0.750, 0.750, 0.750], [0.500, 0.500, 0.500], [0.000, 0.000, 0.000]]
}



{
  "formula": "TbHoCuAu",
  "functional": "PBE",
  "state": "relaxed",
  "delta_e_f_ev_per_fu": -2.195,
  "e_tot_ev_per_atom": -4.694,
  "spacegroup": "F-43m",
  "cell": [[-2.503, -2.851, -3.278], [0.069, -4.992, 0.456], [-4.133, -2.442, 1.446]],
  "species": ["Ho", "Au", "Tb", "Cu"],
  "fractional_positions": [[0.500, 0.500, 0.500], [0.750, 0.750, 0.750], [0.000, 0.000, 0.000], [0.250, 0.250, 0.250]]
}



{
  "formula": "HoThCuAu",
  "functional": "PBE",
  "state": "relaxed",
  "delta_e_f_ev_per_fu": -1.610,
  "e_tot_ev_per_atom": -5.245,
  "spacegroup": "F-43m",
  "cell": [[5.103, 0.000, 0.000], [2.551, 4.419, 0.000], [2.551, 1.473, 4.167]],
  "species": ["Cu", "Th", "Ho", "Au"],
  "fractional_positions": [[0.750, 0.750, 0.750], [0.000, 0.000, 0.000], [0.500, 0.500, 0.500], [0.250, 0.250, 0.250]]
}



{
  "formula": "HoThCuAu",
  "functional": "PBE",
  "state": "relaxed",
  "delta_e_f_ev_per_fu": -1.836,
  "e_tot_ev_per_atom": -5.302,
  "spacegroup": "Amm2",
  "cell": [[-2.554, -2.001, -2.005], [3.180, -2.934, -1.121], [0.082, -2.032, 5.552]],
  "species": ["Cu", "Au", "Ho", "Th"],
  "fractional_positions": [[0.419, 0.000, 0.838], [0.580, 0.500, 0.159], [0.142, 0.000, 0.285], [0.859, 0.500, 0.717]]
}



{
  "formula": "HoTlCuAu",
  "functional": "PBE",
  "state": "relaxed",
  "delta_e_f_ev_per_fu": -1.358,
  "e_tot_ev_per_atom": -3.919,
  "spacegroup": "F-43m",
  "cell": [[4.876, 0.000, 0.000], [2.438, 4.222, 0.000], [2.438, 1.407, 3.981]],
  "species": ["Au", "Cu", "Ho", "Tl"],
  "fractional_positions": [[0.750, 0.750, 0.750], [0.250, 0.250, 0.250], [0.000, 0.000, 0.000], [0.500, 0.500, 0.500]]
}



{
  "formula": "YHoCuAu",
  "functional": "PBE",
  "state": "relaxed",
  "delta_e_f_ev_per_fu": -2.204,
  "e_tot_ev_per_atom": -5.155,
  "spacegroup": "F-43m",
  "cell": [[5.010, 0.000, 0.000], [2.505, 4.338, 0.000], [2.505, 1.446, 4.090]],
  "species": ["Ho", "Y", "Au", "Cu"],
  "fractional_positions": [[0.250, 0.250, 0.250], [0.750, 0.750, 0.750], [0.500, 0.500, 0.500], [0.000, 0.000, 0.000]]
}



{
  "formula": "HoZnCu2Au4",
  "functional": "PBE",
  "state": "relaxed",
  "delta_e_f_ev_per_fu": -2.595,
  "e_tot_ev_per_atom": -3.719,
  "spacegroup": "R-3m",
  "cell": [[-1.210, 0.658, 4.422], [-1.606, -3.543, 2.513], [6.054, -2.601, 4.469]],
  "species": ["Zn", "Au", "Au", "Au", "Ho", "Cu", "Cu", "Au"],
  "fractional_positions": [[0.500, 0.500, 0.500], [0.867, 0.867, 0.398], [0.386, 0.386, 0.843], [0.133, 0.133, 0.602], [0.000, 0.000, 0.000], [0.744, 0.744, 0.768], [0.256, 0.256, 0.232], [0.614, 0.614, 0.157]]
}